VASP calculation (PBE) on a geometry-optimized Li2PBr structure.

abc: 3.212 3.240 14.568
angles: 90.00 90.00 90.00
Space group Imm2 (No. 44)
Unique sites:
Li (0.000, 0.000, 0.000)
Li (0.000, 0.500, 0.266)
P (0.000, 0.500, 0.656)
Br (0.000, 0.000, 0.411)

distance to the lowest polymorph of the same formula	0.0140	eV/atom
spin magnetization	0.0	μB/f.u.
raw formation energy	-2.3	eV/f.u.


VASP calculation (PBE) on a geometry-optimized InPt structure.

abc: 4.7218 4.7218 11.5222
angles: 90.00 90.00 120.00
Space group P-3m1 (No. 164)
Unique sites:
In (0.0000, 0.0000, 0.1271)
In (0.3333, 0.6667, 0.1949)
In (0.3333, 0.6667, 0.4455)
Pt (0.0000, 0.0000, 0.3766)
Pt (0.3333, 0.6667, 0.6893)
Pt (0.3333, 0.6667, 0.9409)

E_form	-0.146	eV/atom
spin magnetization	0.0	μB/f.u.